(P)
KOsPd3 | PBE | optimized geometry

Output
Calculated volume   120 Å³/cell
SG   No. 221

Unit cell a=4.9295 b=4.9295 c=4.9295 alpha=90.00 beta=90.00 gamma=90.00
Positions (direct):
Os: 0.0000 0.0000 0.0000
K: 0.5000 0.5000 0.5000
Pd: 0.0000 0.0000 0.5000
Pd: 0.0000 0.5000 0.0000
Pd: 0.5000 0.0000 0.0000

***

(Q)
KOsPd3 | PBE | optimized geometry

Output
Calculated volume   111 Å³/cell
SG   No. 221

Unit cell a=4.8076 b=4.8076 c=4.8076 alpha=90.00 beta=90.00 gamma=90.00
Positions (direct):
Pd: 0.0000 0.5000 0.0000
K: 0.0000 0.0000 0.0000
Pd: 0.5000 0.0000 0.0000
Pd: 0.0000 0.0000 0.5000
Os: 0.5000 0.5000 0.5000

***

Of them, (P) has the highest stability.

***

(P)
K2OsPd | PBE | optimized geometry

Output
Calculated volume   110 Å³/cell
SG   No. 225

Unit cell a=5.3752 b=5.3752 c=5.3752 alpha=60.00 beta=60.00 gamma=60.00
Positions (direct):
K: 0.7500 0.7500 0.7500
Os: 0.5000 0.5000 0.5000
Pd: 0.0000 0.0000 0.0000
K: 0.2500 0.2500 0.2500

***

(Q)
K2OsPd | PBE | optimized geometry

Output
Calculated volume   345 Å³/cell
SG   No. 122

Unit cell a=11.9507 b=11.9507 c=8.7890 alpha=47.17 beta=47.17 gamma=90.00
Positions (direct):
K: 0.3750 0.5491 0.7500
K: 0.2991 0.6250 0.2500
Pd: 0.2500 0.7500 0.5000
Os: 0.0000 0.0000 0.0000
K: 0.4509 0.1250 0.2500
Os: 0.7500 0.2500 0.5000
K: 0.8750 0.7009 0.7500
Pd: 0.5000 0.5000 0.0000

***

Of them, (Q) has the highest stability.